# CaSi2NiO6

An optimized crystal structure of CaSi2NiO6 (PBE with a Hubbard U, the Alexandria database).

POSCAR file:
```
CaSi2NiO6
1.0
5.3002 0.0021 0.0020
1.3722 6.5335 0.0036
1.3722 0.3473 6.5243
Ca Si Ni O
2 4 2 12
direct
0.2500 0.2970 0.7030 Ca
0.7500 0.7030 0.2970 Ca
0.7287 0.6202 0.8062 Si
0.7713 0.1938 0.3798 Si
0.2287 0.8062 0.6202 Si
0.2713 0.3798 0.1938 Si
0.7500 0.0915 0.9085 Ni
0.2500 0.9085 0.0915 Ni
0.4955 0.6317 0.6669 O
0.0045 0.3331 0.3683 O
0.5045 0.3683 0.3331 O
0.9955 0.6669 0.6317 O
0.8206 0.3884 0.8890 O
0.6794 0.1110 0.6116 O
0.1794 0.6116 0.1110 O
0.3206 0.8890 0.3884 O
0.1427 0.9717 0.7970 O
0.3573 0.2030 0.0283 O
0.6427 0.7970 0.9717 O
0.8573 0.0283 0.2030 O
```

* total energy: -7.0905 eV per atom